Computed, not measured: a geometry-optimized TlRe2Pb structure at the PBE level of DFT.

abc: 5.5517 5.3620 3.1114
angles: 86.40 75.53 117.73
Closest atoms and distances in Å follow each position.
Element x y z (fractional)
Pb 0.5000 0.0000 0.5000  4 Re 2.82, 2 Tl 3.01, 2 Pb 3.11
Re 0.0000 0.0000 0.0000  2 Pb 2.82, 2 Tl 2.82, 4 Re 3.01-3.11
Re 0.0000 0.5000 0.5000  2 Tl 2.82, 2 Pb 2.82, 4 Re 3.01-3.11
Tl 0.5000 0.5000 0.0000  4 Re 2.82, 2 Pb 3.01, 2 Tl 3.11

The value obtained for the formation energy is 1.322 eV/atom. For the density of states at the Fermi level, the calculation gives 1.13 states/eV/atom. The density is 16.770 g cm⁻³. As for the size of the total moment: 0.00 μB per formula unit.

Computed, not measured: a geometry-optimized RbScV2 structure at the PBE level of DFT.

abc: 5.2690 5.2690 5.2690
angles: 60.00 60.00 60.00
Closest atoms and distances in Å follow each position.
Element x y z (fractional)
Sc 0.0000 0.0000 0.0000  8 V 3.23
Rb 0.5000 0.5000 0.5000  8 V 3.23
V 0.2500 0.2500 0.2500  4 Rb 3.23, 4 Sc 3.23
V 0.7500 0.7500 0.7500  4 Rb 3.23, 4 Sc 3.23

The value obtained for the formation energy is 1.453 eV/atom. For the density of states at the Fermi level, the calculation gives 1.75 states/eV/atom. The density is 3.729 g cm⁻³. As for the size of the total moment: 8.11 μB per formula unit.

Number 1 is which compound?
TlRe2Pb

Number 2 is which compound?
RbScV2